AcCe2Sb2Pd2 after structural relaxation, computed with GGA-PBE.

The density of states at the Fermi level comes out at 1.8218 states/eV/atom. As for the total energy: -5.80 eV/atom. The total magnetization comes out at 2.1 μB/f.u.

The structure belongs to space group R-3m (No. 166, hexagonal axes); the cell edges are 4.7200, 4.7200 and 28.0605 Å and the angles 90.00°, 90.00° and 120.00°. The distinct sites, in fractional coordinates, are Ac at (0.0000, 0.0000, 0.0000), Ce at (0.0000, 0.0000, 0.1432), Sb at (0.0000, 0.0000, 0.2609) and Pd at (0.0000, 0.0000, 0.4384).

---

Ac2CePdSe5 after structural relaxation, computed with GGA-PBE.

The density of states at the Fermi level comes out at 0.6085 states/eV/atom. As for the total energy: -5.76 eV/atom. The total magnetization comes out at 0.4 μB/f.u.

The structure belongs to space group Cmc2_1 (No. 36); the cell edges are 4.223, 17.814 and 12.976 Å and the angles 90.00°, 90.00° and 90.00°. The distinct sites, in fractional coordinates, are Ac at (0.000, 0.110, 0.000), Ac at (0.000, 0.122, 0.351), Ce at (0.000, 0.176, 0.675), Pd at (0.000, 0.442, 0.076), Se at (0.000, 0.017, 0.674), Se at (0.000, 0.303, 0.015), Se at (0.000, 0.306, 0.335), Se at (0.000, 0.342, 0.673) and Se at (0.000, 0.498, 0.397).

---

AcCePdSe4 after structural relaxation, computed with GGA-PBE.

The density of states at the Fermi level comes out at 0.6097 states/eV/atom. As for the total energy: -5.60 eV/atom. The total magnetization comes out at 0.3 μB/f.u.

The structure belongs to space group P2_1/m (No. 11); the cell edges are 7.338, 5.905 and 8.684 Å and the angles 90.00°, 108.61° and 90.00°. The distinct sites, in fractional coordinates, are Ac at (0.244, 0.250, 0.434), Ce at (0.224, 0.250, 0.937), Pd at (0.255, 0.750, 0.203), Se at (0.058, 0.750, 0.389), Se at (0.074, 0.750, 0.900) and Se at (0.468, 0.514, 0.764).

---

AcCe2Si2Pd2 after structural relaxation, computed with GGA-PBE.

The density of states at the Fermi level comes out at 1.1822 states/eV/atom. As for the total energy: -6.10 eV/atom. The total magnetization comes out at 1.0 μB/f.u.

The structure belongs to space group R-3m (No. 166, hexagonal axes); the cell edges are 4.3835, 4.3835 and 28.1532 Å and the angles 90.00°, 90.00° and 120.00°. The distinct sites, in fractional coordinates, are Ac at (0.0000, 0.0000, 0.0000), Ce at (0.0000, 0.0000, 0.1401), Si at (0.0000, 0.0000, 0.2530) and Pd at (0.0000, 0.0000, 0.4120).

---

Ac2CeSi3Pd12 after structural relaxation, computed with GGA-PBE.

The density of states at the Fermi level comes out at 0.5486 states/eV/atom. As for the total energy: -5.60 eV/atom. The total magnetization comes out at 0.3 μB/f.u.

The structure belongs to space group R-3m (No. 166, hexagonal axes); the cell edges are 8.3861, 8.3861 and 18.6684 Å and the angles 90.00°, 90.00° and 120.00°. The distinct sites, in fractional coordinates, are Ac at (0.0000, 0.0000, 0.1009), Ce at (0.0000, 0.0000, 0.5000), Si at (0.0000, 0.5000, 0.0000), Pd at (0.0221, 0.5110, 0.8729) and Pd at (0.0418, 0.5209, 0.3617).

---

AcCeSi2Pd5 after structural relaxation, computed with GGA-PBE.

The density of states at the Fermi level comes out at 0.8139 states/eV/atom. As for the total energy: -6.04 eV/atom. The total magnetization comes out at 0.5 μB/f.u.

The structure belongs to space group P4/mmm (No. 123); the cell edges are 4.328, 4.328 and 9.089 Å and the angles 90.00°, 90.00° and 90.00°. The distinct sites, in fractional coordinates, are Ac at (0.000, 0.000, 0.000), Ce at (0.000, 0.000, 0.500), Si at (0.500, 0.500, 0.370), Pd at (0.000, 0.500, 0.241) and Pd at (0.500, 0.500, 0.000).

---

AcCeSiPd after structural relaxation, computed with GGA-PBE.

The density of states at the Fermi level comes out at 2.3351 states/eV/atom. As for the total energy: -5.65 eV/atom. The total magnetization comes out at 1.1 μB/f.u.

The structure belongs to space group F-43m (No. 216); the cell edges are 7.458, 7.458 and 7.458 Å and the angles 90.00°, 90.00° and 90.00°. The distinct sites, in fractional coordinates, are Ac at (0.000, 0.000, 0.000), Ce at (0.000, 0.000, 0.500), Si at (0.250, 0.250, 0.250) and Pd at (0.250, 0.250, 0.750).

---

Ac2CeSi3Pd4 after structural relaxation, computed with GGA-PBE.

The density of states at the Fermi level comes out at 0.9553 states/eV/atom. As for the total energy: -5.93 eV/atom. The total magnetization comes out at 0.3 μB/f.u.

The structure belongs to space group P-4m2 (No. 115); the cell edges are 4.403, 4.403 and 11.013 Å and the angles 90.00°, 90.00° and 90.00°. The distinct sites, in fractional coordinates, are Ac at (0.000, 0.500, 0.230), Ce at (0.000, 0.000, 0.500), Si at (0.000, 0.500, 0.887), Si at (0.500, 0.500, 0.500), Pd at (0.000, 0.000, 0.000), Pd at (0.000, 0.500, 0.663) and Pd at (0.500, 0.500, 0.000).

---

AcCeSi2Pd2 after structural relaxation, computed with GGA-PBE.

The density of states at the Fermi level comes out at 0.7317 states/eV/atom. As for the total energy: -6.09 eV/atom. The total magnetization comes out at 0.0 μB/f.u.

The structure belongs to space group P-3m1 (No. 164); the cell edges are 4.3077, 4.3077 and 8.3647 Å and the angles 90.00°, 90.00° and 120.00°. The distinct sites, in fractional coordinates, are Ac at (0.0000, 0.0000, 0.0000), Ce at (0.0000, 0.0000, 0.5000), Si at (0.3333, 0.6667, 0.7239) and Pd at (0.3333, 0.6667, 0.2626).

---

Ac2CeSn3Pd4 after structural relaxation, computed with GGA-PBE.

The density of states at the Fermi level comes out at 1.1668 states/eV/atom. The total magnetization comes out at 0.7 μB/f.u. Its formation energy is -0.81 eV/atom.

The structure belongs to space group P-4m2 (No. 115); the cell edges are 4.731, 4.731 and 11.170 Å and the angles 90.00°, 90.00° and 90.00°. The distinct sites, in fractional coordinates, are Ac at (0.000, 0.500, 0.225), Ce at (0.000, 0.000, 0.500), Sn at (0.000, 0.500, 0.880), Sn at (0.500, 0.500, 0.500), Pd at (0.000, 0.000, 0.000), Pd at (0.000, 0.500, 0.643) and Pd at (0.500, 0.500, 0.000).

---

AcCeSnPd after structural relaxation, computed with GGA-PBE.

The density of states at the Fermi level comes out at 2.3770 states/eV/atom. The total magnetization comes out at 1.2 μB/f.u. Its formation energy is -0.54 eV/atom.

The structure belongs to space group F-43m (No. 216); the cell edges are 7.747, 7.747 and 7.747 Å and the angles 90.00°, 90.00° and 90.00°. The distinct sites, in fractional coordinates, are Ac at (0.000, 0.000, 0.000), Ce at (0.000, 0.000, 0.500), Sn at (0.250, 0.250, 0.750) and Pd at (0.250, 0.250, 0.250).

---

AcCe2Sn2Pd2 after structural relaxation, computed with GGA-PBE.

The density of states at the Fermi level comes out at 1.0854 states/eV/atom. The total magnetization comes out at 1.0 μB/f.u. Its formation energy is -0.76 eV/atom.

The structure belongs to space group R-3m (No. 166, hexagonal axes); the cell edges are 4.7193, 4.7193 and 28.0172 Å and the angles 90.00°, 90.00° and 120.00°. The distinct sites, in fractional coordinates, are Ac at (0.0000, 0.0000, 0.0000), Ce at (0.0000, 0.0000, 0.1437), Sn at (0.0000, 0.0000, 0.2594) and Pd at (0.0000, 0.0000, 0.4414).

---

AcCeSn2Pd5 after structural relaxation, computed with GGA-PBE.

The density of states at the Fermi level comes out at 1.1064 states/eV/atom. The total magnetization comes out at 0.9 μB/f.u. Its formation energy is -0.67 eV/atom.

The structure belongs to space group P4/mmm (No. 123); the cell edges are 4.618, 4.618 and 9.243 Å and the angles 90.00°, 90.00° and 90.00°. The distinct sites, in fractional coordinates, are Ac at (0.000, 0.000, 0.000), Ce at (0.000, 0.000, 0.500), Sn at (0.500, 0.500, 0.349), Pd at (0.000, 0.500, 0.215) and Pd at (0.500, 0.500, 0.000).

---

AcCeZnPd after structural relaxation, computed with GGA-PBE.

The density of states at the Fermi level comes out at 2.0836 states/eV/atom. The total magnetization comes out at 0.8 μB/f.u. Its formation energy is -0.38 eV/atom.

The structure belongs to space group F-43m (No. 216); the cell edges are 7.480, 7.480 and 7.480 Å and the angles 90.00°, 90.00° and 90.00°. The distinct sites, in fractional coordinates, are Ac at (0.000, 0.000, 0.000), Ce at (0.000, 0.000, 0.500), Zn at (0.250, 0.250, 0.750) and Pd at (0.250, 0.250, 0.250).

---

Ac2CeZnPd6 after structural relaxation, computed with GGA-PBE.

The density of states at the Fermi level comes out at 0.6181 states/eV/atom. The total magnetization comes out at 0.2 μB/f.u. Its formation energy is -0.60 eV/atom.

The structure belongs to space group P-1 (No. 2); the cell edges are 5.730, 6.931 and 7.035 Å and the angles 77.74°, 65.97° and 65.72°. The distinct sites, in fractional coordinates, are Ac at (0.232, 0.309, 0.229), Ce at (0.000, 0.000, 0.000), Zn at (0.500, 0.500, 0.500), Pd at (0.254, 0.904, 0.587), Pd at (0.257, 0.748, 0.254) and Pd at (0.259, 0.252, 0.746).

---

Ac2CePm after structural relaxation, computed with GGA-PBE.

The density of states at the Fermi level comes out at 2.3539 states/eV/atom. As for the offset from the most stable computed form: 0 meV per atom. The total magnetization comes out at 1.2 μB/f.u. Its formation energy is 0.10 eV/atom.

The structure belongs to space group P4/mmm (No. 123); the cell edges are 3.794, 3.794 and 10.554 Å and the angles 90.00°, 90.00° and 90.00°. The distinct sites, in fractional coordinates, are Ac at (0.000, 0.000, 0.245), Ce at (0.500, 0.500, 0.000) and Pm at (0.500, 0.500, 0.500).

---

Ac2CePm after structural relaxation, computed with GGA-PBE.

The density of states at the Fermi level comes out at 2.8408 states/eV/atom. As for the offset from the most stable computed form: 110 meV per atom. The total magnetization comes out at 3.0 μB/f.u. Its formation energy is 0.21 eV/atom.

The structure belongs to space group Fm-3m (No. 225); the cell edges are 8.546, 8.546 and 8.546 Å and the angles 90.00°, 90.00° and 90.00°. The distinct sites, in fractional coordinates, are Ac at (0.250, 0.250, 0.250), Ce at (0.000, 0.000, 0.000) and Pm at (0.000, 0.000, 0.500).

---

Ac2CePm after structural relaxation, computed with GGA-PBE.

The density of states at the Fermi level comes out at 2.6773 states/eV/atom. As for the offset from the most stable computed form: 14 meV per atom. The total magnetization comes out at 1.2 μB/f.u. Its formation energy is 0.12 eV/atom.

The structure belongs to space group P4/mmm (No. 123); the cell edges are 5.397, 5.397 and 5.252 Å and the angles 90.00°, 90.00° and 90.00°. The distinct sites, in fractional coordinates, are Ac at (0.000, 0.500, 0.000), Ce at (0.000, 0.000, 0.500) and Pm at (0.500, 0.500, 0.500).

---

AcCePm14 after structural relaxation, computed with GGA-PBE.

The density of states at the Fermi level comes out at 1.7947 states/eV/atom. The total magnetization comes out at 1.2 μB/f.u. Its formation energy is 0.04 eV/atom.

The structure belongs to space group P4/mmm (No. 123); the cell edges are 7.338, 7.338 and 10.361 Å and the angles 90.00°, 90.00° and 90.00°. The distinct sites, in fractional coordinates, are Ac at (0.000, 0.000, 0.000), Ce at (0.500, 0.500, 0.000), Pm at (0.000, 0.000, 0.500), Pm at (0.000, 0.500, 0.000), Pm at (0.000, 0.500, 0.500), Pm at (0.254, 0.254, 0.252) and Pm at (0.500, 0.500, 0.500).

---

Ac2CePm after structural relaxation, computed with GGA-PBE.

The density of states at the Fermi level comes out at 2.5182 states/eV/atom. As for the offset from the most stable computed form: 170 meV per atom. The total magnetization comes out at 1.6 μB/f.u. Its formation energy is 0.27 eV/atom.

The structure belongs to space group R-3m (No. 166, hexagonal axes); the cell edges are 3.7206, 3.7206 and 39.4824 Å and the angles 90.00°, 90.00° and 120.00°. The distinct sites, in fractional coordinates, are Ac at (0.0000, 0.0000, 0.0881), Ce at (0.0000, 0.0000, 0.0000) and Pm at (0.0000, 0.0000, 0.5000).